# 1
BaTa2Zn: relaxed, PBE.

abc: 4.9758 4.9758 19.7845
angles: 90.00 90.00 90.00
Space group I4_1/amd (No. 141, origin choice 2)
Inequivalent atoms, fractional coordinates:
Ba 0.0000 0.2500 0.3750 x4
Ta 0.0000 0.0000 0.0000 x8
Zn 0.0000 0.2500 0.8750 x4

Summary:
The value obtained for the electronic total energy is -5.615 eV per atom. The calculated density is 7.66 Mg/m³. For the total magnetization, the calculation gives 0.0 μB per formula unit. The formation energy from the elements comes out at 428 kJ/mol of formula units.



# 2
BaZrTa2: relaxed, PBE.

abc: 9.1324 3.0948 7.6549
angles: 90.00 92.19 90.00
Space group Cm (No. 8)
Inequivalent atoms, fractional coordinates:
Ba 0.0000 0.0000 0.0000 x2
Zr 0.2643 0.5000 0.3475 x2
Ta 0.0023 0.5000 0.5311 x2
Ta 0.2393 0.0000 0.6821 x2

Summary:
The value obtained for the electronic total energy is -7.876 eV per atom. The calculated density is 9.07 Mg/m³. The calculation puts the energy above the most stable polymorph in this dataset at 0.199 eV/atom. For the total magnetization, the calculation gives 0.0 μB per formula unit. The formation energy from the elements comes out at 258 kJ/mol of formula units.



# 3
Ba2ZrTa: relaxed, PBE.

abc: 7.8729 7.8729 7.8729
angles: 90.00 90.00 90.00
Space group F-43m (No. 216)
Inequivalent atoms, fractional coordinates:
Ba 0.0000 0.0000 0.0000 x4
Ba 0.2500 0.2500 0.2500 x4
Zr 0.2500 0.2500 0.7500 x4
Ta 0.0000 0.0000 0.5000 x4

Summary:
The value obtained for the electronic total energy is -4.977 eV per atom. The calculated density is 7.44 Mg/m³. The calculation puts the energy above the most stable polymorph in this dataset at 0.565 eV/atom. For the total magnetization, the calculation gives 0.4 μB per formula unit. The formation energy from the elements comes out at 419 kJ/mol of formula units.



# 4
Ba2Zr2Ta: relaxed, PBE.

abc: 4.2916 4.2916 16.4988
angles: 90.00 90.00 90.00
Space group I4/mmm (No. 139)
Inequivalent atoms, fractional coordinates:
Ba 0.0000 0.5000 0.2500 x4
Zr 0.0000 0.0000 0.0764 x4
Ta 0.0000 0.0000 0.5000 x2

Summary:
The value obtained for the electronic total energy is -5.263 eV per atom. The calculated density is 6.97 Mg/m³. The calculation puts the energy above the most stable polymorph in this dataset at 0.478 eV/atom. For the total magnetization, the calculation gives 0.0 μB per formula unit. The formation energy from the elements comes out at 625 kJ/mol of formula units.



Q: Which of these has the highest calculated density?
A: BaZrTa2



What did the second record say?
BaZrTa2: relaxed, PBE.

abc: 9.1324 3.0948 7.6549
angles: 90.00 92.19 90.00
Space group Cm (No. 8)
Inequivalent atoms, fractional coordinates:
Ba 0.0000 0.0000 0.0000 x2
Zr 0.2643 0.5000 0.3475 x2
Ta 0.0023 0.5000 0.5311 x2
Ta 0.2393 0.0000 0.6821 x2

Summary:
The value obtained for the electronic total energy is -7.876 eV per atom. The calculated density is 9.07 Mg/m³. The calculation puts the energy above the most stable polymorph in this dataset at 0.199 eV/atom. For the total magnetization, the calculation gives 0.0 μB per formula unit. The formation energy from the elements comes out at 258 kJ/mol of formula units.



Q: The highest electronic total energy belongs to which entry?
A: Ba2ZrTa